Entry 1:
The following is a DFT calculation (PBE-GGA) of a geometry-optimized La2NdDy3Ho6 structure.

- Crystal system: monoclinic
- DFT formation energy: 0.02 eV per atom
- Total energy: -4.636 eV/atom

Unit cell a=6.2098 b=10.7544 c=11.8172 alpha=90.00 beta=100.08 gamma=90.00
With the nearest neighbours (Å) after each atom.
Space group C2/m (No. 12)
Unique sites:
La: 0.0000 0.1667 0.0000 [4 per cell]  3 La 3.58-3.59, 3 Nd 3.58-3.59, 6 Ho 3.62
Nd: 0.0000 0.5000 0.0000 [2 per cell]  6 La 3.58-3.59, 6 Ho 3.61-3.62
Dy: 0.0000 0.0000 0.5000 [2 per cell]  6 Ho 3.52-3.53, 6 Dy 3.58-3.59
Dy: 0.0000 0.3335 0.5000 [4 per cell]  6 Ho 3.52, 6 Dy 3.58-3.59
Ho: 0.2470 0.5000 0.7450 [4 per cell]  3 Dy 3.52-3.53, 6 Ho 3.58-3.59, 1 Nd 3.61, 2 La 3.62
Ho: 0.2478 0.1664 0.7449 [8 per cell]  3 Dy 3.52, 6 Ho 3.58-3.59, 2 La 3.62, 1 Nd 3.62

Entry 2:
The following is a DFT calculation (PBE-GGA) of a geometry-optimized SrAcTlCu structure.

- Crystal system: cubic
- DFT formation energy: -0.18 eV per atom
- Total energy: -3.242 eV/atom

Unit cell a=7.9473 b=7.9473 c=7.9473 alpha=90.00 beta=90.00 gamma=90.00
With the nearest neighbours (Å) after each atom.
Space group F-43m (No. 216)
Unique sites:
Sr: 0.0000 0.0000 0.0000 [4 per cell]  4 Tl 3.44, 4 Cu 3.44
Ac: 0.0000 0.0000 0.5000 [4 per cell]  4 Tl 3.44, 4 Cu 3.44
Tl: 0.2500 0.2500 0.2500 [4 per cell]  4 Ac 3.44, 4 Sr 3.44
Cu: 0.2500 0.2500 0.7500 [4 per cell]  4 Ac 3.44, 4 Sr 3.44

Entry 3:
The following is a DFT calculation (PBE-GGA) of a geometry-optimized NaScAu2 structure.

- Crystal system: tetragonal
- DFT formation energy: -0.19 eV per atom
- Total energy: -3.745 eV/atom

Unit cell a=7.6346 b=7.6346 c=6.1757 alpha=90.00 beta=90.00 gamma=90.00
With the nearest neighbours (Å) after each atom.
Space group I-42d (No. 122)
Unique sites:
Na: 0.0000 0.0000 0.0000 [4 per cell]  4 Au 2.92, 2 Sc 3.09
Sc: 0.0000 0.0000 0.5000 [4 per cell]  4 Au 2.70
Au: 0.2282 0.2500 0.6250 [8 per cell]  2 Sc 2.70, 2 Na 2.92

Question: What is the DFT formation energy in the first record?
Answer: 0.02 eV per atom

Question: Which of these has the lowest DFT formation energy?
Answer: NaScAu2